Entry 1:
The following is a GGA-PBEsol calculation of an optimized crystal structure of BeGaRe3, from Alexandria via LeMat-Bulk.

Output
V = 70 Å³ per cell
Total moment = 0.000 Bohr magnetons per cell
VASP energy = -8.58 eV/atom

Unit cell a=4.120 b=4.120 c=4.120 alpha=90.00 beta=90.00 gamma=90.00
Fractional positions:
Be: 0.000 0.000 0.000
Ga: 0.500 0.500 0.500
Re: 0.000 0.000 0.500
Re: 0.000 0.500 0.000
Re: 0.500 0.000 0.000

=====

Entry 2:
The following is a GGA-PBEsol calculation of an optimized crystal structure of BeGaReSn2, from Alexandria via LeMat-Bulk.

Output
V = 116 Å³ per cell
Total moment = 0.000 Bohr magnetons per cell
VASP energy = -5.27 eV/atom

Unit cell a=5.094 b=5.094 c=4.480 alpha=90.00 beta=90.00 gamma=90.00
Fractional positions:
Be: 0.000 0.000 0.000
Ga: 0.500 0.500 0.000
Re: 0.000 0.000 0.500
Sn: 0.000 0.500 0.500
Sn: 0.500 0.000 0.500

=====

Entry 3:
The following is a GGA-PBEsol calculation of an optimized crystal structure of Sr2BeGaRe, from Alexandria via LeMat-Bulk.

Output
V = 140 Å³ per cell
Total moment = 3.495 Bohr magnetons per cell
VASP energy = -3.67 eV/atom

Unit cell a=5.842 b=5.842 c=4.112 alpha=90.00 beta=90.00 gamma=90.00
Fractional positions:
Sr: 0.000 0.500 0.000
Sr: 0.500 0.000 0.000
Be: 0.000 0.000 0.500
Ga: 0.000 0.000 0.000
Re: 0.500 0.500 0.500

=====

Entry 4:
The following is a GGA-PBEsol calculation of an optimized crystal structure of BeGaRh2, from Alexandria via LeMat-Bulk.

Output
V = 192 Å³ per cell
Total moment = 0.000 Bohr magnetons per cell
VASP energy = -6.60 eV/atom

Unit cell a=5.766 b=5.766 c=5.766 alpha=90.00 beta=90.00 gamma=90.00
Fractional positions:
Be: 0.000 0.000 0.000
Be: 0.000 0.500 0.500
Be: 0.500 0.000 0.500
Be: 0.500 0.500 0.000
Ga: 0.000 0.000 0.500
Ga: 0.000 0.500 0.000
Ga: 0.500 0.000 0.000
Ga: 0.500 0.500 0.500
Rh: 0.250 0.250 0.250
Rh: 0.250 0.250 0.750
Rh: 0.250 0.750 0.250
Rh: 0.250 0.750 0.750
Rh: 0.750 0.250 0.250
Rh: 0.750 0.250 0.750
Rh: 0.750 0.750 0.250
Rh: 0.750 0.750 0.750

=====

Entry 5:
The following is a GGA-PBEsol calculation of an optimized crystal structure of BeGa2Rh2, from Alexandria via LeMat-Bulk.

Output
V = 134 Å³ per cell
Total moment = 0.000 Bohr magnetons per cell
VASP energy = -5.92 eV/atom

Unit cell a=5.921 b=5.921 c=3.831 alpha=90.00 beta=90.00 gamma=90.00
Fractional positions:
Be: 0.000 0.000 0.000
Be: 0.500 0.500 0.000
Ga: 0.157 0.343 0.500
Ga: 0.343 0.843 0.500
Ga: 0.657 0.157 0.500
Ga: 0.843 0.657 0.500
Rh: 0.158 0.658 0.000
Rh: 0.342 0.158 0.000
Rh: 0.658 0.842 0.000
Rh: 0.842 0.342 0.000

=====

Entry 6:
The following is a GGA-PBEsol calculation of an optimized crystal structure of BeGaRu3, from Alexandria via LeMat-Bulk.

Output
V = 66 Å³ per cell
Total moment = 0.773 Bohr magnetons per cell
VASP energy = -7.06 eV/atom

Unit cell a=4.048 b=4.048 c=4.048 alpha=90.00 beta=90.00 gamma=90.00
Fractional positions:
Be: 0.000 0.000 0.000
Ga: 0.500 0.500 0.500
Ru: 0.000 0.000 0.500
Ru: 0.000 0.500 0.000
Ru: 0.500 0.000 0.000